1.
# Os2Br GGA-PBEsol relaxed
# **E_form (uncorrected)**: 0.87 eV/atom
# **M_tot**: 0.00 μB/f.u.
# **Uncorrected energy**: -0.580 Ry/atom
data_Os2Br
_cell_length_a 2.895
_cell_length_b 19.480
_cell_length_c 4.097
_cell_angle_alpha 90.00
_cell_angle_beta 90.00
_cell_angle_gamma 90.00
_space_group_name_H-M_alt 'C m c m'
_space_group_IT_number 63
_space_group_name_Hall '-C 2c 2'
loop_
_atom_site_label
_atom_site_fract_x
_atom_site_fract_y
_atom_site_fract_z
Os1 0.000 0.154 0.250
Os2 0.000 0.236 0.750
Br1 0.000 0.425 0.250

***

2.
# CoRu2Au GGA-PBEsol relaxed
# **Energy of formation from the pure elements**: 401 meV per atom
# **M_tot**: 1.18 μB/f.u.
# **Uncorrected energy**: -0.559 Ry/atom
data_CoRu2Au
_cell_length_a 2.693
_cell_length_b 4.339
_cell_length_c 9.353
_cell_angle_alpha 90.00
_cell_angle_beta 90.00
_cell_angle_gamma 90.00
_space_group_name_H-M_alt 'I m m m'
_space_group_IT_number 71
_space_group_name_Hall '-I 2 2'
loop_
_atom_site_label
_atom_site_fract_x
_atom_site_fract_y
_atom_site_fract_z
Co1 0.000 0.000 0.000
Ru1 0.000 0.500 0.283
Au1 0.000 0.000 0.500

***

3.
# Li2HgAu GGA-PBEsol relaxed
# **Energy of formation from the pure elements**: -423 meV per atom
# **Excess energy over the best structure of this formula in the dataset**: 0.17 eV per formula unit
# **M_tot**: 0.00 μB/f.u.
# **Uncorrected energy**: -0.186 Ry/atom
data_Li2HgAu
_cell_length_a 6.449
_cell_length_b 6.449
_cell_length_c 6.449
_cell_angle_alpha 90.00
_cell_angle_beta 90.00
_cell_angle_gamma 90.00
_space_group_name_H-M_alt 'F -4 3 m'
_space_group_IT_number 216
_space_group_name_Hall 'F -4 2 3'
loop_
_atom_site_label
_atom_site_fract_x
_atom_site_fract_y
_atom_site_fract_z
Li1 0.000 0.000 0.000
Li2 0.250 0.250 0.250
Hg1 0.250 0.250 0.750
Au1 0.000 0.000 0.500

***

4.
# NaFeTe2 GGA-PBEsol relaxed
# **E_form (uncorrected)**: 0.16 eV/atom
# **M_tot**: 2.65 μB/f.u.
# **Uncorrected energy**: -0.309 Ry/atom
data_NaFeTe2
_cell_length_a 7.004
_cell_length_b 7.004
_cell_length_c 7.004
_cell_angle_alpha 90.00
_cell_angle_beta 90.00
_cell_angle_gamma 90.00
_space_group_name_H-M_alt 'F m -3 m'
_space_group_IT_number 225
_space_group_name_Hall '-F 4 2 3'
loop_
_atom_site_label
_atom_site_fract_x
_atom_site_fract_y
_atom_site_fract_z
Na1 0.000 0.000 0.000
Fe1 0.000 0.000 0.500
Te1 0.250 0.250 0.250

***

5.
# LiFeTe2 GGA-PBEsol relaxed
# **E_form (uncorrected)**: -0.28 eV/atom
# **M_tot**: 0.70 μB/f.u.
# **Uncorrected energy**: -0.351 Ry/atom
data_LiFeTe2
_cell_length_a 3.7538
_cell_length_b 3.7538
_cell_length_c 20.1872
_cell_angle_alpha 90.00
_cell_angle_beta 90.00
_cell_angle_gamma 120.00
_space_group_name_H-M_alt 'R -3 m'
_space_group_IT_number 166
_space_group_name_Hall '-R 3 2"'
loop_
_atom_site_label
_atom_site_fract_x
_atom_site_fract_y
_atom_site_fract_z
Li1 0.0000 0.0000 0.0000
Fe1 0.0000 0.0000 0.5000
Te1 0.0000 0.0000 0.2341

***

6.
# SrMgCuP2O8 GGA-PBEsol relaxed
# **E_form (uncorrected)**: -2.35 eV/atom
# **M_tot**: 0.97 μB/f.u.
# **Uncorrected energy**: -0.520 Ry/atom
data_SrMgCuP2O8
_cell_length_a 5.609
_cell_length_b 6.584
_cell_length_c 9.061
_cell_angle_alpha 109.22
_cell_angle_beta 101.74
_cell_angle_gamma 99.48
_space_group_name_H-M_alt 'P -1'
_space_group_IT_number 2
_space_group_name_Hall '-P 1'
loop_
_atom_site_label
_atom_site_fract_x
_atom_site_fract_y
_atom_site_fract_z
Sr1 0.233 0.201 0.437
Mg1 0.499 0.581 0.849
Cu1 0.143 0.856 0.045
P1 0.111 0.574 0.257
P2 0.343 0.028 0.798
O1 0.117 0.402 0.091
O2 0.120 0.931 0.854
O3 0.137 0.478 0.699
O4 0.155 0.807 0.249
O5 0.246 0.986 0.618
O6 0.345 0.557 0.374
O7 0.449 0.103 0.175
O8 0.459 0.278 0.905

***

7.
# GeBrO3 GGA-PBEsol relaxed
# **E_form (uncorrected)**: 0.31 eV/atom
# **M_tot**: 0.00 μB/f.u.
# **Uncorrected energy**: -0.309 Ry/atom
data_GeBrO3
_cell_length_a 4.010
_cell_length_b 4.010
_cell_length_c 4.010
_cell_angle_alpha 90.00
_cell_angle_beta 90.00
_cell_angle_gamma 90.00
_space_group_name_H-M_alt 'P m -3 m'
_space_group_IT_number 221
_space_group_name_Hall '-P 4 2 3'
loop_
_atom_site_label
_atom_site_fract_x
_atom_site_fract_y
_atom_site_fract_z
Ge1 0.000 0.000 0.000
Br1 0.500 0.500 0.500
O1 0.000 0.500 0.500

***

8.
# PuF3 GGA-PBEsol relaxed
# **E_form (uncorrected)**: -3.46 eV/atom
# **M_tot**: 5.00 μB/f.u.
# **Uncorrected energy**: -0.639 Ry/atom
data_PuF3
_cell_length_a 4.0596
_cell_length_b 4.0596
_cell_length_c 7.1054
_cell_angle_alpha 90.00
_cell_angle_beta 90.00
_cell_angle_gamma 120.00
_space_group_name_H-M_alt 'P 63/m m c'
_space_group_IT_number 194
_space_group_name_Hall '-P 6c 2c'
loop_
_atom_site_label
_atom_site_fract_x
_atom_site_fract_y
_atom_site_fract_z
Pu1 0.3333 0.6667 0.2500
F1 0.0000 0.0000 0.2500
F2 0.3333 0.6667 0.5788